{"formula": "TlSiOs3", "functional": "PBEsol", "state": "optimized geometry", "formation_energy_uncorrected_ev_per_atom": 1.257, "e_tot_ev_per_atom": -7.748, "total_magnetization_mub_per_cell": 0.36, "lattice": [[4.405, 0.000, 0.000], [0.000, 4.405, 0.000], [0.000, 0.000, 4.405]], "species": ["Tl", "Os", "Os", "Os", "Si"], "frac_coords": [[0.500, 0.500, 0.500], [0.000, 0.500, 0.000], [0.000, 0.000, 0.500], [0.500, 0.000, 0.000], [0.000, 0.000, 0.000]]}

=====

{"formula": "TlSi2Os", "functional": "PBEsol", "state": "optimized geometry", "formation_energy_uncorrected_ev_per_atom": 0.821, "e_tot_ev_per_atom": -5.764, "de_polymorph_kj_per_mol_fu": 38, "total_magnetization_mub_per_cell": 0.00, "lattice": [[4.073, 0.000, 0.000], [0.000, 4.073, 0.000], [-2.036, -2.036, 3.870]], "species": ["Os", "Si", "Si", "Tl"], "frac_coords": [[0.250, 0.750, 0.500], [0.000, 0.000, 0.000], [0.750, 0.250, 0.500], [0.500, 0.500, 0.000]]}

=====

{"formula": "TlSiOs2", "functional": "PBEsol", "state": "optimized geometry", "formation_energy_uncorrected_ev_per_atom": 0.528, "e_tot_ev_per_atom": -7.674, "de_polymorph_kj_per_mol_fu": 48, "total_magnetization_mub_per_cell": 0.00, "lattice": [[-0.911, -2.232, 1.567], [2.557, -1.549, -3.356], [4.238, 1.100, 4.031]], "species": ["Os", "Os", "Si", "Tl"], "frac_coords": [[0.034, 0.068, 0.054], [0.733, 0.466, 0.335], [0.455, 0.911, 0.342], [0.278, 0.556, 0.769]]}

=====

{"formula": "Tl2SiOs", "functional": "PBEsol", "state": "optimized geometry", "formation_energy_uncorrected_ev_per_atom": 0.949, "e_tot_ev_per_atom": -4.856, "de_polymorph_kj_per_mol_fu": 0, "total_magnetization_mub_per_cell": 0.00, "lattice": [[-1.481, -2.357, -1.109], [2.088, 1.266, -1.736], [6.783, -6.032, 3.761]], "species": ["Os", "Si", "Tl", "Tl"], "frac_coords": [[0.500, 0.500, 0.500], [0.500, 0.500, 0.000], [0.000, 0.000, 0.264], [0.000, 0.000, 0.736]]}

=====

{"formula": "TmSi2Os2", "functional": "PBEsol", "state": "optimized geometry", "formation_energy_uncorrected_ev_per_atom": -0.742, "e_tot_ev_per_atom": -8.907, "total_magnetization_mub_per_cell": 0.00, "lattice": [[4.108, 0.000, 0.000], [0.000, 4.108, 0.000], [-2.054, -2.054, 4.778]], "species": ["Si", "Si", "Tm", "Os", "Os"], "frac_coords": [[0.625, 0.625, 0.251], [0.375, 0.375, 0.749], [0.000, 0.000, 0.000], [0.750, 0.250, 0.500], [0.250, 0.750, 0.500]]}

=====

{"formula": "USi2Os2", "functional": "PBEsol", "state": "optimized geometry", "formation_energy_uncorrected_ev_per_atom": -0.495, "e_tot_ev_per_atom": -10.112, "total_magnetization_mub_per_cell": 1.09, "lattice": [[4.112, 0.000, 0.000], [0.000, 4.112, 0.000], [-2.056, -2.056, 4.746]], "species": ["Os", "Os", "Si", "Si", "U"], "frac_coords": [[0.750, 0.250, 0.500], [0.250, 0.750, 0.500], [0.376, 0.376, 0.753], [0.624, 0.624, 0.247], [0.000, 0.000, 0.000]]}